# 1
VASP calculation (PBE) on a relaxed La2UMn2C4 crystal.

a = 6.8717 Å, b = 6.8717 Å, c = 6.0979 Å
α = 107.98°, β = 107.98°, γ = 29.03°
Atoms (fractional coordinates):
La (0.1340, 0.1340, 0.0385)
La (0.8660, 0.8660, 0.9615)
U (0.0000, 0.0000, 0.5000)
Mn (0.3155, 0.3155, 0.4969)
Mn (0.6845, 0.6845, 0.5031)
C (0.2165, 0.2165, 0.6738)
C (0.4580, 0.4580, 0.7153)
C (0.5420, 0.5420, 0.2847)
C (0.7835, 0.7835, 0.3262)

Computed properties:
**Formation enthalpy at 0 K**: -0.0743 eV per atom
**Space-group type**: C2/m, No. 12

---

# 2
VASP calculation (PBE) on a relaxed LaMnWC3 crystal.

a = 7.0571 Å, b = 3.2938 Å, c = 7.5879 Å
α = 90.00°, β = 107.84°, γ = 90.00°
Atoms (fractional coordinates):
La (0.1993, 0.2500, 0.2131)
La (0.8007, 0.7500, 0.7869)
Mn (0.1000, 0.2500, 0.6101)
Mn (0.9000, 0.7500, 0.3899)
W (0.3474, 0.7500, 0.8680)
W (0.6526, 0.2500, 0.1320)
C (0.1273, 0.2500, 0.8594)
C (0.1737, 0.7500, 0.5393)
C (0.4586, 0.7500, 0.1551)
C (0.5414, 0.2500, 0.8449)
C (0.8263, 0.2500, 0.4607)
C (0.8727, 0.7500, 0.1406)

Computed properties:
**Formation enthalpy at 0 K**: 0.0951 eV per atom
**Space-group type**: P2_1/m, No. 11

---

# 3
VASP calculation (PBE) on a relaxed LaMnZnC crystal.

a = 3.4703 Å, b = 3.4703 Å, c = 11.2070 Å
α = 90.00°, β = 90.00°, γ = 90.00°
Atoms (fractional coordinates):
La (0.2500, 0.2500, 0.2300)
La (0.7500, 0.7500, 0.7700)
Mn (0.2500, 0.7500, 0.0000)
Mn (0.7500, 0.2500, 0.0000)
Zn (0.2500, 0.7500, 0.5000)
Zn (0.7500, 0.2500, 0.5000)
C (0.2500, 0.2500, 0.9045)
C (0.7500, 0.7500, 0.0955)

Computed properties:
**Formation enthalpy at 0 K**: -0.1298 eV per atom
**Space-group type**: P4/nmm, No. 129